[1]
Material: AlSnP2O
Method: DFT, GGA-PBEsol
State: optimized geometry

ρ (g cm⁻³): 4.401
Formation energy without anion corrections (meV/atom): -354
Fermi-level density of states (states/eV per cell): 3.28
Relative energy among the computed polymorphs (meV per atom): 0

Cell lengths 3.3998, 4.9819, 4.9819 Å; angles 90.00, 90.00, 90.00 degrees
Last column: nearest neighbours and their distance in Å.
Element x y z (fractional)
Al: 0.0000 0.0000 0.0000  2 O 1.70
O: 0.5000 0.0000 0.0000  2 Al 1.70
P: 0.0000 0.0000 0.5000  2 Al 2.49
P: 0.0000 0.5000 0.0000  2 Al 2.49
Sn: 0.5000 0.5000 0.5000  8 P 3.02


[2]
Material: AlTcP2O
Method: DFT, GGA-PBEsol
State: optimized geometry

ρ (g cm⁻³): 4.153
Formation energy without anion corrections (meV/atom): -133
Fermi-level density of states (states/eV per cell): 3.32

Cell lengths 3.6124, 4.7394, 4.7394 Å; angles 90.00, 90.00, 90.00 degrees
Last column: nearest neighbours and their distance in Å.
Element x y z (fractional)
Al: 0.5000 0.5000 0.5000  8 P 2.98
Tc: 0.0000 0.0000 0.0000  2 O 1.81
P: 0.0000 0.5000 0.0000  2 Tc 2.37
P: 0.0000 0.0000 0.5000  2 Tc 2.37
O: 0.5000 0.0000 0.0000  2 Tc 1.81


[3]
Material: TiAlP2O
Method: DFT, GGA-PBEsol
State: optimized geometry

ρ (g cm⁻³): 3.287
Formation energy without anion corrections (meV/atom): -371
Fermi-level density of states (states/eV per cell): 4.47

Cell lengths 3.2986, 4.8375, 4.8375 Å; angles 90.00, 90.00, 90.00 degrees
Last column: nearest neighbours and their distance in Å.
Element x y z (fractional)
Al: 0.0000 0.0000 0.0000  2 O 1.65
P: 0.0000 0.0000 0.5000  2 Al 2.42
P: 0.0000 0.5000 0.0000  2 Al 2.42
O: 0.5000 0.0000 0.0000  2 Al 1.65
Ti: 0.5000 0.5000 0.5000  8 P 2.93